No. 1
NaLaTi2O6 | Alexandria | GGA-PBEsol | optimized geometry; SG = Pmn2_1, No. 31; formation energy (no corrections) = -3.07 eV per atom; DOS(E_F) = 0.0 states/eV/f.u.
1.0
-3.9975 -2.5982 2.6039
2.5826 -4.7556 -0.7802
3.7317 0.9339 6.6606
Na La Ti O
2 2 4 12
Direct
0.0001 0.7326 0.5000 Na
0.5001 0.2674 0.0000 Na
0.4921 0.2208 0.5000 La
0.9921 0.7792 0.0000 La
0.4927 0.7449 0.7484 Ti
0.9927 0.2551 0.2484 Ti
0.4927 0.7449 0.2516 Ti
0.9927 0.2551 0.7516 Ti
0.2842 0.4676 0.7174 O
0.2274 0.9730 0.2816 O
0.7274 0.0270 0.2184 O
0.7842 0.5324 0.7826 O
0.7274 0.0270 0.7816 O
0.7842 0.5324 0.2174 O
0.2842 0.4676 0.2826 O
0.2274 0.9730 0.7184 O
0.9375 0.2596 0.5000 O
0.5617 0.7599 0.5000 O
0.0617 0.2401 0.0000 O
0.4375 0.7404 0.0000 O

=====

No. 2
NaLaW2O8 | Alexandria | GGA-PBEsol | optimized geometry; SG = I-4, No. 82; formation energy (no corrections) = -2.50 eV per atom; DOS(E_F) = 0.0 states/eV/f.u.
1.0
5.3415 0.0000 0.0000
0.0000 5.3415 0.0000
-2.6707 -2.6707 5.7307
Na La W O
1 1 2 8
Direct
0.0000 0.0000 0.0000 Na
0.7500 0.2500 0.5000 La
0.2500 0.7500 0.5000 W
0.5000 0.5000 0.0000 W
0.0102 0.9028 0.3304 O
0.3202 0.4276 0.3304 O
0.1764 0.2628 0.8232 O
0.6468 0.5604 0.8232 O
0.7372 0.3532 0.1768 O
0.4396 0.8236 0.1768 O
0.5724 0.9898 0.6696 O
0.0972 0.6798 0.6696 O

=====

No. 3
NaLaZr2O6 | Alexandria | GGA-PBEsol | optimized geometry; SG = Imm2, No. 44; formation energy (no corrections) = -3.21 eV per atom; DOS(E_F) = 0.0 states/eV/f.u.
1.0
-4.8449 2.4794 1.7986
-0.9595 0.6849 5.6050
0.1391 5.2653 2.2499
Na La Zr O
1 1 2 6
Direct
0.5118 0.0000 0.0000 Na
0.9789 0.5000 0.5000 La
0.2454 0.7520 0.7520 Zr
0.7495 0.2480 0.2480 Zr
0.5650 0.9343 0.4532 O
0.9524 0.0657 0.5468 O
0.5650 0.4532 0.9343 O
0.9524 0.5468 0.0657 O
0.0920 0.0000 0.0000 O
0.3876 0.5000 0.5000 O

=====

No. 4
NaSrLa2Os | Alexandria | GGA-PBEsol | optimized geometry; SG = P4/mmm, No. 123; DOS(E_F) = 5.2 states/eV/f.u.; energy relative to the elements = 1.18 eV/f.u.
1.0
-1.6222 0.6362 -5.1119
-3.9849 -3.5512 0.8226
-3.6972 4.5518 1.7397
Na Sr Os La
1 1 1 2
Direct
0.0000 0.0000 0.5000 Na
0.5000 0.5000 0.5000 Sr
0.0000 0.0000 0.0000 Os
0.0000 0.5000 0.0000 La
0.5000 0.0000 0.0000 La

=====

No. 5
NaLaP2W | Alexandria | GGA-PBEsol | optimized geometry; SG = P4/mmm, No. 123; DOS(E_F) = 2.1 states/eV/f.u.; energy relative to the elements = 0.25 eV/f.u.
1.0
-4.4370 0.6865 -1.2269
-1.3602 -1.0688 4.3210
0.3830 4.8221 1.3133
P Na W La
2 1 1 1
Direct
0.0000 0.5000 0.0000 P
0.5000 0.0000 0.0000 P
0.0000 0.0000 0.5000 Na
0.0000 0.0000 0.0000 W
0.5000 0.5000 0.5000 La

=====

No. 6
Na2LaPdPb | Alexandria | GGA-PBEsol | optimized geometry; SG = P4/mmm, No. 123; DOS(E_F) = 3.1 states/eV/f.u.; energy relative to the elements = -0.20 eV/f.u.
1.0
-0.3232 -0.4665 -5.1969
3.0952 -4.2089 0.1853
-4.3905 -3.2041 0.5607
Pb Na Pd La
1 2 1 1
Direct
0.5000 0.5000 0.5000 Pb
0.0000 0.5000 0.0000 Na
0.5000 0.0000 0.0000 Na
0.0000 0.0000 0.0000 Pd
0.0000 0.0000 0.5000 La

=====

No. 7
NaLa2Pt2 | Alexandria | GGA-PBEsol | optimized geometry; SG = P4/mbm, No. 127; DOS(E_F) = 3.2 states/eV/f.u.; energy relative to the elements = -3.99 eV/f.u.
1.0
-2.4783 2.2116 1.9183
1.1781 -4.4048 6.6003
6.0084 4.8538 2.1667
Na Pt La
2 4 4
Direct
0.0000 0.0000 0.0000 Na
0.0000 0.5000 0.5000 Na
0.0000 0.3668 0.8668 Pt
0.0000 0.8668 0.6332 Pt
0.0000 0.6332 0.1332 Pt
0.0000 0.1332 0.3668 Pt
0.5000 0.1612 0.6612 La
0.5000 0.6612 0.8388 La
0.5000 0.8388 0.3388 La
0.5000 0.3388 0.1612 La

=====

No. 8
NaLaPt3 | Alexandria | GGA-PBEsol | optimized geometry; SG = Pm-3m, No. 221; DOS(E_F) = 2.0 states/eV/f.u.; energy relative to the elements = 1.82 eV/f.u.
1.0
4.6634 0.0000 0.0000
0.0000 4.6634 0.0000
0.0000 0.0000 4.6634
Na Pt La
1 3 1
Direct
0.0000 0.0000 0.0000 Na
0.0000 0.5000 0.0000 Pt
0.0000 0.0000 0.5000 Pt
0.5000 0.0000 0.0000 Pt
0.5000 0.5000 0.5000 La

=====

No. 9
Rb3NaLa | Alexandria | GGA-PBEsol | optimized geometry; SG = Pm-3m, No. 221; DOS(E_F) = 11.3 states/eV/f.u.; energy relative to the elements = 3.95 eV/f.u.
1.0
-3.9862 -5.9526 -0.9027
4.0596 -3.4569 4.8691
-4.4462 2.1805 5.2550
Na Rb La
1 3 1
Direct
0.5000 0.5000 0.5000 Na
0.0000 0.5000 0.0000 Rb
0.0000 0.0000 0.5000 Rb
0.5000 0.0000 0.0000 Rb
0.0000 0.0000 0.0000 La

=====

No. 10
Na2LaRhS | Alexandria | GGA-PBEsol | optimized geometry; SG = P4/mmm, No. 123; formation energy (no corrections) = -0.16 eV per atom; DOS(E_F) = 1.3 states/eV/f.u.
1.0
-0.6202 1.3927 -4.8185
-3.4256 -3.6640 -0.6181
-3.7280 3.2462 1.4181
Na S Rh La
2 1 1 1
Direct
0.0000 0.5000 0.0000 Na
0.5000 0.0000 0.0000 Na
0.5000 0.5000 0.5000 S
0.0000 0.0000 0.0000 Rh
0.0000 0.0000 0.5000 La

=====

No. 11
NaSrLa2Rh | Alexandria | GGA-PBEsol | optimized geometry; SG = P4/mmm, No. 123; DOS(E_F) = 4.9 states/eV/f.u.; energy relative to the elements = -0.45 eV/f.u.
1.0
-1.7763 -3.3666 3.8147
-1.7133 -3.4088 -3.8061
5.4126 -2.7876 0.0602
Na Sr Rh La
1 1 1 2
Direct
0.0000 0.0000 0.5000 Na
0.5000 0.5000 0.5000 Sr
0.0000 0.0000 0.0000 Rh
0.0000 0.5000 0.0000 La
0.5000 0.0000 0.0000 La

=====

No. 12
NaLa3Ru | Alexandria | GGA-PBEsol | optimized geometry; energy above the lowest structure with this stoichiometry = 0 meV/atom; SG = Pmma, No. 51; DOS(E_F) = 3.3 states/eV/f.u.; energy relative to the elements = -0.49 eV/f.u.
1.0
-0.5157 -5.9092 -1.5270
5.4022 0.4765 -3.6680
4.3948 -1.9894 6.2142
Na La Ru
2 6 2
Direct
0.2500 0.6612 0.5000 Na
0.7500 0.3388 0.5000 Na
0.2500 0.1656 0.7373 La
0.7500 0.3578 0.0000 La
0.2500 0.6422 0.0000 La
0.7500 0.8344 0.7373 La
0.2500 0.1656 0.2627 La
0.7500 0.8344 0.2627 La
0.5000 0.0000 0.0000 Ru
0.0000 0.0000 0.0000 Ru

=====

No. 13
NaLa3Ru | Alexandria | GGA-PBEsol | optimized geometry; energy above the lowest structure with this stoichiometry = 67 meV/atom; SG = Pm-3m, No. 221; DOS(E_F) = 4.8 states/eV/f.u.; energy relative to the elements = -0.16 eV/f.u.
1.0
-0.5312 -5.5110 0.0768
5.1956 -0.4750 1.8546
-1.8393 0.2500 5.2167
Ru Na La
1 1 3
Direct
0.0000 0.0000 0.0000 Ru
0.5000 0.5000 0.5000 Na
0.0000 0.5000 0.0000 La
0.0000 0.0000 0.5000 La
0.5000 0.0000 0.0000 La

=====

No. 14
NaLaRu2 | Alexandria | GGA-PBEsol | optimized geometry; SG = Fm-3m, No. 225; DOS(E_F) = 6.5 states/eV/f.u.; energy relative to the elements = 2.71 eV/f.u.
1.0
-3.9785 2.4195 -0.0051
-3.4829 -1.2403 2.8309
-1.1016 2.6771 3.6472
Ru Na La
2 1 1
Direct
0.2500 0.2500 0.2500 Ru
0.7500 0.7500 0.7500 Ru
0.0000 0.0000 0.0000 Na
0.5000 0.5000 0.5000 La

=====

No. 15
NaLa2Sb2 | Alexandria | GGA-PBEsol | optimized geometry; SG = P4/mbm, No. 127; formation energy (no corrections) = -0.92 eV per atom; DOS(E_F) = 2.7 states/eV/f.u.
1.0
-1.0831 -2.4325 3.2872
2.6801 -6.9197 -4.2373
7.8135 0.9977 3.3128
Sb Na La
4 2 4
Direct
0.0000 0.3441 0.8441 Sb
0.0000 0.8441 0.6559 Sb
0.0000 0.6559 0.1559 Sb
0.0000 0.1559 0.3441 Sb
0.0000 0.0000 0.0000 Na
0.0000 0.5000 0.5000 Na
0.5000 0.1479 0.6479 La
0.5000 0.6479 0.8521 La
0.5000 0.8521 0.3521 La
0.5000 0.3521 0.1479 La

=====

No. 16
NaLaSb2 | Alexandria | GGA-PBEsol | optimized geometry; SG = I-42d, No. 122; formation energy (no corrections) = -0.55 eV per atom; DOS(E_F) = 1.5 states/eV/f.u.
1.0
6.4578 0.0000 0.0000
3.2289 5.9636 0.0000
3.2289 0.0000 5.9636
Sb Na La
4 2 2
Direct
0.8750 0.9802 0.5198 Sb
0.3750 0.0198 0.4802 Sb
0.6052 0.5198 0.0198 Sb
0.1448 0.4802 0.9802 Sb
0.5000 0.0000 0.0000 Na
0.2500 0.5000 0.5000 Na
0.0000 0.0000 0.0000 La
0.7500 0.5000 0.5000 La

=====

No. 17
Na2LaSc | Alexandria | GGA-PBEsol | optimized geometry; SG = I-42d, No. 122; DOS(E_F) = 6.4 states/eV/f.u.; energy relative to the elements = 2.46 eV/f.u.
1.0
-1.2487 -4.4475 -4.1267
-4.7559 -4.7953 1.9582
-5.2250 1.3395 -4.5114
Sc Na La
2 4 2
Direct
0.2500 0.5000 0.5000 Sc
0.5000 0.0000 0.0000 Sc
0.1418 0.9832 0.4832 Na
0.6082 0.0168 0.5168 Na
0.3750 0.4832 0.0168 Na
0.8750 0.5168 0.9832 Na
0.7500 0.5000 0.5000 La
0.0000 0.0000 0.0000 La

=====

No. 18
NaLaSe2 | Alexandria | GGA-PBEsol | optimized geometry; SG = P4/mmm, No. 123; formation energy (no corrections) = -1.65 eV per atom
1.0
-0.5231 -0.5580 -4.2287
1.0596 -4.1438 0.4157
-5.6248 -1.3506 0.8741
Na Se La
1 2 1
Direct
0.0000 0.0000 0.0000 Na
0.0000 0.0000 0.5000 Se
0.5000 0.5000 0.0000 Se
0.5000 0.5000 0.5000 La

=====

No. 19
NaLaSe2 | Alexandria | GGA-PBEsol | optimized geometry; SG = R-3m, No. 166; formation energy (no corrections) = -1.72 eV per atom; DOS(E_F) = 0.0 states/eV/f.u.
1.0
-4.2050 0.3432 -0.9805
-1.5021 -1.6624 -3.7069
-3.1193 -6.3582 1.5850
Na Se La
1 2 1
Direct
0.0000 0.0000 0.0000 Na
0.7537 0.7537 0.7389 Se
0.2463 0.2463 0.2611 Se
0.5000 0.5000 0.5000 La

=====

No. 20
NaLa8Se12 | Alexandria | GGA-PBEsol | optimized geometry; SG = I-42d, No. 122; formation energy (no corrections) = -2.00 eV per atom; DOS(E_F) = 7.5 states/eV/f.u.
1.0
8.9452 0.0000 0.0000
0.0000 8.9452 0.0000
-4.4726 -4.4726 13.4428
Na La Se
2 16 24
Direct
0.0000 0.0000 0.0000 Na
0.2500 0.7500 0.5000 Na
0.6600 0.5433 0.5808 La
0.9208 0.0375 0.5808 La
0.3333 0.3333 0.6667 La
0.6250 0.9954 0.7500 La
0.3292 0.2067 0.9192 La
0.9167 0.4167 0.8333 La
0.5900 0.7125 0.9192 La
0.1250 0.7546 0.7500 La
0.2875 0.6708 0.0808 La
0.0046 0.8750 0.2500 La
0.5833 0.0833 0.1667 La
0.2454 0.3750 0.2500 La
0.7933 0.4100 0.0808 La
0.6667 0.6667 0.3333 La
0.9625 0.3400 0.4192 La
0.4567 0.0792 0.4192 La
0.9901 0.3940 0.6348 Se
0.4275 0.6748 0.7042 Se
0.6447 0.2407 0.6348 Se
0.6053 0.3560 0.8652 Se
0.2599 0.5093 0.8652 Se
0.2768 0.0295 0.7042 Se
0.6571 0.0624 0.9692 Se
0.9732 0.0752 0.7958 Se
0.0932 0.3429 0.0308 Se
0.3121 0.9068 0.9692 Se
0.8225 0.7205 0.7958 Se
0.2795 0.0268 0.2042 Se
0.9248 0.1775 0.2042 Se
0.9376 0.6879 0.0308 Se
0.3252 0.7232 0.2958 Se
0.6440 0.7401 0.1348 Se
0.7593 0.0099 0.3652 Se
0.9705 0.5725 0.2958 Se
0.4907 0.3947 0.1348 Se
0.9379 0.6876 0.5308 Se
0.5929 0.8432 0.5308 Se
0.6060 0.3553 0.3652 Se
0.3124 0.4071 0.4692 Se
0.1568 0.0621 0.4692 Se

=====

| no. | M_tot (μB per atom) | density (g/cm3) | VASP energy (hartree per atom) |
| --- | --- | --- | --- |
| 1 | 0.000 | 5.141 | -0.3144 |
| 2 | 0.000 | 6.678 | -0.3258 |
| 3 | 0.000 | 5.475 | -0.3254 |
| 4 | 0.000 | 5.386 | -0.1835 |
| 5 | 0.000 | 6.235 | -0.2343 |
| 6 | 0.000 | 5.543 | -0.1345 |
| 7 | 0.000 | 9.296 | -0.2206 |
| 8 | 0.000 | 12.234 | -0.1897 |
| 9 | 0.820 | 1.845 | -0.0432 |
| 10 | 0.000 | 4.044 | -0.1578 |
| 11 | 0.000 | 4.614 | -0.1655 |
| 12 | 0.000 | 5.693 | -0.2065 |
| 13 | 0.000 | 5.290 | -0.2041 |
| 14 | 0.000 | 8.467 | -0.2240 |
| 15 | 0.107 | 5.852 | -0.1898 |
| 16 | 0.000 | 5.862 | -0.1659 |
| 17 | 0.004 | 3.092 | -0.1129 |
| 18 | 0.000 | 4.916 | -0.1933 |
| 19 | 0.000 | 4.798 | -0.1960 |
| 20 | 0.000 | 6.427 | -0.2318 |